Entry 1:
Here is crystalline SnAsNO2 at its relaxed geometry from Alexandria. Energies are from PBE.

Output
Mass density, g/cm3: 5.9
Energy, eV per cell: -26.09
SG: No. 123
V, Å³ per atom: 13.47

Cell lengths 3.9807, 3.9807, 4.2488 Å; angles 90.00, 90.00, 90.00 degrees
With the nearest neighbours (Å) after each atom.
Sites, in units of the cell vectors:
N  0.0000  0.0000  0.5000  2 Sn 2.12
As  0.5000  0.5000  0.5000  4 N 2.81, 8 O 2.91
Sn  0.0000  0.0000  0.0000  4 O 1.99, 2 N 2.12
O  0.5000  0.0000  0.0000  2 Sn 1.99
O  0.0000  0.5000  0.0000  2 Sn 1.99

***

Entry 2:
Here is crystalline SrAsN2O at its relaxed geometry from Alexandria. Energies are from PBE.

Output
Mass density, g/cm3: 5.7
Energy, eV per cell: -29.22
SG: No. 123
V, Å³ per atom: 12.09

Cell lengths 3.8230, 3.8230, 4.1359 Å; angles 90.00, 90.00, 90.00 degrees
With the nearest neighbours (Å) after each atom.
Sites, in units of the cell vectors:
Sr  0.5000  0.5000  0.5000  4 O 2.70, 8 N 2.82
N  0.0000  0.5000  0.0000  2 As 1.91
N  0.5000  0.0000  0.0000  2 As 1.91
As  0.0000  0.0000  0.0000  4 N 1.91, 2 O 2.07
O  0.0000  0.0000  0.5000  2 As 2.07

***

Entry 3:
Here is crystalline SrAsN2O at its relaxed geometry from Alexandria. Energies are from PBE.

Output
Mass density, g/cm3: 3.1
Energy, eV per cell: -20.09
SG: No. 123
V, Å³ per atom: 21.90

Cell lengths 4.9300, 4.9300, 4.5051 Å; angles 90.00, 90.00, 90.00 degrees
With the nearest neighbours (Å) after each atom.
Sites, in units of the cell vectors:
N  0.5000  0.0000  0.0000  2 Sr 2.46
N  0.0000  0.5000  0.0000  2 Sr 2.46
Sr  0.0000  0.0000  0.0000  2 O 2.25, 4 N 2.46
O  0.0000  0.0000  0.5000  2 Sr 2.25
As  0.5000  0.5000  0.5000  8 N 3.34, 4 O 3.49

***

Entry 4:
Here is crystalline TaAsNO2 at its relaxed geometry from Alexandria. Energies are from PBE.

Output
Mass density, g/cm3: 7.7
Energy, eV per cell: -39.21
SG: No. 123
V, Å³ per atom: 13.06

Cell lengths 3.9268, 3.9268, 4.2339 Å; angles 90.00, 90.00, 90.00 degrees
With the nearest neighbours (Å) after each atom.
Sites, in units of the cell vectors:
Ta  0.0000  0.0000  0.0000  4 O 1.96, 2 N 2.12
N  0.0000  0.0000  0.5000  2 Ta 2.12
As  0.5000  0.5000  0.5000  4 N 2.78, 8 O 2.89
O  0.5000  0.0000  0.0000  2 Ta 1.96
O  0.0000  0.5000  0.0000  2 Ta 1.96

***

Entry 5:
Here is crystalline TaAsNO2 at its relaxed geometry from Alexandria. Energies are from PBE.

Output
Mass density, g/cm3: 8.8
Energy, eV per cell: -33.56
SG: No. 123
V, Å³ per atom: 11.35

Cell lengths 3.7598, 3.7598, 4.0144 Å; angles 90.00, 90.00, 90.00 degrees
With the nearest neighbours (Å) after each atom.
Sites, in units of the cell vectors:
As  0.0000  0.0000  0.0000  4 O 1.88, 2 N 2.01
O  0.0000  0.5000  0.0000  2 As 1.88
O  0.5000  0.0000  0.0000  2 As 1.88
N  0.0000  0.0000  0.5000  2 As 2.01
Ta  0.5000  0.5000  0.5000  4 N 2.66, 8 O 2.75

***

Entry 6:
Here is crystalline TcAsNO2 at its relaxed geometry from Alexandria. Energies are from PBE.

Output
Mass density, g/cm3: 6.0
Energy, eV per cell: -33.21
SG: No. 123
V, Å³ per atom: 12.02

Cell lengths 3.8436, 3.8436, 4.0693 Å; angles 90.00, 90.00, 90.00 degrees
With the nearest neighbours (Å) after each atom.
Sites, in units of the cell vectors:
O  0.5000  0.0000  0.0000  2 Tc 1.92
O  0.0000  0.5000  0.0000  2 Tc 1.92
Tc  0.0000  0.0000  0.0000  4 O 1.92, 2 N 2.03
As  0.5000  0.5000  0.5000  4 N 2.72, 8 O 2.80
N  0.0000  0.0000  0.5000  2 Tc 2.03

***

Entry 7:
Here is crystalline TcAsNO2 at its relaxed geometry from Alexandria. Energies are from PBE.

Output
Mass density, g/cm3: 6.4
Energy, eV per cell: -31.11
SG: No. 123
V, Å³ per atom: 11.28

Cell lengths 3.7569, 3.7569, 3.9948 Å; angles 90.00, 90.00, 90.00 degrees
With the nearest neighbours (Å) after each atom.
Sites, in units of the cell vectors:
Tc  0.5000  0.5000  0.5000  4 N 2.66, 8 O 2.74
As  0.0000  0.0000  0.0000  4 O 1.88, 2 N 2.00
O  0.5000  0.0000  0.0000  2 As 1.88
O  0.0000  0.5000  0.0000  2 As 1.88
N  0.0000  0.0000  0.5000  2 As 2.00

***

Entry 8:
Here is crystalline Th2AsNO at its relaxed geometry from Alexandria. Energies are from PBE.

Output
Mass density, g/cm3: 9.4
Energy, eV per cell: -44.17
SG: No. 156
V, Å³ per atom: 20.03

Cell lengths 4.0608, 4.0608, 7.0135 Å; angles 90.00, 90.00, 120.00 degrees
With the nearest neighbours (Å) after each atom.
Sites, in units of the cell vectors:
Th  0.0000  0.0000  0.2817  1 O 2.43, 3 N 2.45
Th  0.6667  0.3333  0.7165  1 N 2.35, 3 O 2.43
O  0.0000  0.0000  0.6278  4 Th 2.43
N  0.6667  0.3333  0.3816  4 Th 2.35-2.45
As  0.3333  0.6667  0.9924  6 Th 3.04-3.10